A relaxed NdGaSnRu crystal. Source: Alexandria, functional PBE.

Lattice parameters (Å, degrees): 4.3672 4.3672 5.9356 68.41 68.41 60.00
Fractional positions:
Nd (0.8127, 0.8127, 0.5620)
Ga (0.5905, 0.5905, 0.2284)
Sn (0.0245, 0.0245, 0.9265)
Ru (0.2982, 0.2982, 0.1055)

Output
Volume in Å³/atom: 22.19
ΔH_f (0 K) in eV/atom: -0.439